VASP calculation (PBE-GGA) on a relaxed structure of CaBNF2.

## Properties
Excess energy over the best structure of this formula in the dataset (meV per atom): 0
Total energy (eV/atom): -5.966
SG: P4/mmm (123)
Size of the total moment (μB/atom): 0.0000

Structure (POSCAR):
```
CaBNF2
1.0
-4.007 0.501 1.462
0.882 -2.595 3.307
0.828 2.209 1.513
B Ca N F
1 1 1 2
direct
0.000 0.000 0.000 B
0.500 0.500 0.500 Ca
0.000 0.000 0.500 N
0.000 0.500 0.000 F
0.500 0.000 0.000 F
```